This record from Alexandria describes an optimized crystal structure of Cu6Te2Mo2H2Cl4O15. The functional is PBE+U.

```
Cu6Te2Mo2H2Cl4O15
1.0
6.246 0.038 0.024
0.485 6.396 -0.076
1.053 1.616 12.024
O Cl Cu Te H Mo
15 4 6 2 2 2
Cartesian
4.292 3.603 0.698
0.969 6.751 3.090
5.529 2.616 4.389
6.767 1.281 8.958
6.619 4.983 5.289
6.595 5.436 0.683
5.798 1.091 6.738
3.489 4.458 11.320
2.007 7.126 5.341
2.310 5.387 7.683
0.590 2.757 1.541
4.613 6.616 4.412
7.199 5.309 10.515
3.046 1.545 7.654
1.197 2.630 11.348
4.527 7.552 10.378
3.199 0.484 1.649
2.792 3.820 3.407
5.052 4.164 8.664
2.874 6.775 3.647
5.322 4.861 10.761
2.461 3.192 1.267
7.545 7.212 10.740
0.263 0.856 1.295
4.849 1.409 8.386
5.630 4.274 1.898
2.147 3.793 10.112
1.189 4.560 4.877
5.935 4.289 5.154
5.743 0.933 4.791
2.006 7.040 7.290
```

Properties
Magnetic moment, μB/atom: 0.06
Energy, eV per cell: -162.5
SG: P1 (1)